Record 1
The following is a DFT calculation (PBE) of a relaxed structure of Li3La2CoCu12.

a = 11.7308 Å, b = 11.7308 Å, c = 11.7308 Å
α = 26.24°, β = 26.24°, γ = 26.24°
Atoms (fractional coordinates):
Li 0.5000 0.0000 0.0000
Li 0.0000 0.5000 0.0000
Li 0.0000 0.0000 0.5000
La 0.6464 0.6464 0.6464
La 0.3536 0.3536 0.3536
Co 0.0000 0.0000 0.0000
Cu 0.4003 0.4003 0.8607
Cu 0.9026 0.9026 0.3765
Cu 0.3765 0.9026 0.9026
Cu 0.8607 0.4003 0.4003
Cu 0.9026 0.3765 0.9026
Cu 0.4003 0.8607 0.4003
Cu 0.5997 0.5997 0.1393
Cu 0.0974 0.0974 0.6235
Cu 0.6235 0.0974 0.0974
Cu 0.1393 0.5997 0.5997
Cu 0.0974 0.6235 0.0974
Cu 0.5997 0.1393 0.5997

Properties
**DOS at the Fermi energy**: 12.13 states/eV/f.u.
**Energy**: -3.85 eV per atom
**M_tot**: 0.0 μB/cell
**Energy of formation from the pure elements**: 2.65 eV per formula unit

=====

Record 2
The following is a DFT calculation (PBE) of a relaxed structure of La2CoCu12Ni3.

a = 9.3481 Å, b = 9.3481 Å, c = 9.3481 Å
α = 38.24°, β = 38.24°, γ = 38.24°
Atoms (fractional coordinates):
La 0.6516 0.6516 0.6516
La 0.3484 0.3484 0.3484
Co 0.0000 0.0000 0.0000
Cu 0.4166 0.4166 0.8075
Cu 0.9349 0.9349 0.3485
Cu 0.3485 0.9349 0.9349
Cu 0.8075 0.4166 0.4166
Cu 0.9349 0.3485 0.9349
Cu 0.4166 0.8075 0.4166
Cu 0.5834 0.5834 0.1925
Cu 0.0651 0.0651 0.6515
Cu 0.6515 0.0651 0.0651
Cu 0.1925 0.5834 0.5834
Cu 0.0651 0.6515 0.0651
Cu 0.5834 0.1925 0.5834
Ni 0.5000 0.0000 0.0000
Ni 0.0000 0.5000 0.0000
Ni 0.0000 0.0000 0.5000

Properties
**DOS at the Fermi energy**: 12.33 states/eV/f.u.
**Energy**: -4.36 eV per atom
**M_tot**: 0.6 μB/cell
**Energy of formation from the pure elements**: 4.94 eV per formula unit

=====

Record 3
The following is a DFT calculation (PBE) of a relaxed structure of LaCoCu2P.

a = 4.2916 Å, b = 5.7697 Å, c = 4.2916 Å
α = 90.00°, β = 90.00°, γ = 90.00°
Atoms (fractional coordinates):
P 0.0000 0.0000 0.0000
Co 0.5000 0.5000 0.5000
Cu 0.0000 0.0000 0.5000
Cu 0.5000 0.0000 0.0000
La 0.0000 0.5000 0.0000

Properties
**DOS at the Fermi energy**: 1.62 states/eV/f.u.
**Energy**: -4.92 eV per atom
**M_tot**: 1.1 μB/cell
**Energy of formation from the pure elements**: 1.04 eV per formula unit

=====

Record 4
The following is a DFT calculation (PBE) of a relaxed structure of La2CoCuPb.

a = 5.2171 Å, b = 5.2171 Å, c = 4.7403 Å
α = 90.00°, β = 90.00°, γ = 90.00°
Atoms (fractional coordinates):
Pb 0.5000 0.5000 0.5000
Co 0.0000 0.0000 0.0000
Cu 0.0000 0.0000 0.5000
La 0.0000 0.5000 0.0000
La 0.5000 0.0000 0.0000

Properties
**DOS at the Fermi energy**: 4.27 states/eV/f.u.
**Energy**: -5.12 eV per atom
**M_tot**: 0.0 μB/cell
**Energy of formation from the pure elements**: -0.81 eV per formula unit

=====

Record 5
The following is a DFT calculation (PBE) of a relaxed structure of LaPrCoCu.

a = 3.9555 Å, b = 4.3073 Å, c = 5.8173 Å
α = 90.00°, β = 109.88°, γ = 90.00°
Atoms (fractional coordinates):
La 0.8640 0.5000 0.7281
Pr 0.1389 0.0000 0.2777
Co 0.4301 0.0000 0.8602
Cu 0.5670 0.5000 0.1339

Properties
**DOS at the Fermi energy**: 3.91 states/eV/f.u.
**Energy**: -5.32 eV per atom
**M_tot**: 0.0 μB/cell
**Energy of formation from the pure elements**: -0.39 eV per formula unit
**Distance to the lowest polymorph of the same formula**: 0 meV per atom

=====

Record 6
The following is a DFT calculation (PBE) of a relaxed structure of LaPrCoCu.

a = 5.0339 Å, b = 5.0339 Å, c = 5.0339 Å
α = 60.00°, β = 60.00°, γ = 60.00°
Atoms (fractional coordinates):
Pr 0.5000 0.5000 0.5000
Co 0.7500 0.7500 0.7500
Cu 0.2500 0.2500 0.2500
La 0.0000 0.0000 0.0000

Properties
**DOS at the Fermi energy**: 4.43 states/eV/f.u.
**Energy**: -5.26 eV per atom
**M_tot**: 0.0 μB/cell
**Energy of formation from the pure elements**: -0.12 eV per formula unit
**Distance to the lowest polymorph of the same formula**: 68 meV per atom